# KDyMo2O8

Crystalline KDyMo2O8 at its relaxed geometry (PBE+U, the Alexandria database).

Properties
size of the total moment	0.000	μB per atom
VASP energy	-7.1261	eV/atom
symmetry	P-1

Cell: 5.307 6.954 10.871 Å, 94.34 102.04 112.25°
Element x y z (fractional)
K (0.200, 0.303, 0.060)
K (0.800, 0.697, 0.940)
Dy (0.308, 0.187, 0.442)
Dy (0.692, 0.813, 0.558)
Mo (0.035, 0.425, 0.669)
Mo (0.417, 0.060, 0.776)
Mo (0.583, 0.940, 0.224)
Mo (0.965, 0.575, 0.331)
O (0.057, 0.353, 0.313)
O (0.162, 0.058, 0.625)
O (0.227, 0.411, 0.817)
O (0.253, 0.997, 0.900)
O (0.283, 0.814, 0.420)
O (0.289, 0.481, 0.569)
O (0.300, 0.691, 0.166)
O (0.426, 0.124, 0.257)
O (0.574, 0.876, 0.743)
O (0.700, 0.309, 0.834)
O (0.711, 0.519, 0.431)
O (0.717, 0.186, 0.580)
O (0.747, 0.003, 0.100)
O (0.773, 0.589, 0.183)
O (0.838, 0.942, 0.375)
O (0.943, 0.647, 0.687)